Entry 1:
Here is a geometry-optimized BaSr2Br structure from Alexandria. Energies are from PBE.

Cell and atoms, written as CIF:
```
data_BaSr2Br
_symmetry_space_group_name_H-M 'P 1'
_symmetry_Int_Tables_number 1
_symmetry_space_group_name_Hall 'P 1'
_cell_length_a 7.8091
_cell_length_b 7.8091
_cell_length_c 7.8091
_cell_angle_alpha 139.59
_cell_angle_beta 139.59
_cell_angle_gamma 58.48
loop_
_atom_site_label
_atom_site_fract_x
_atom_site_fract_y
_atom_site_fract_z
Sr1 0.0000 0.0000 0.0000
Sr2 0.2500 0.7500 0.5000
Ba1 0.5000 0.5000 0.0000
Br1 0.7500 0.2500 0.5000
```

Properties
The calculation puts the total magnetization at 0.00 μB/f.u. For the energy relative to the lowest polymorph listed for this composition, the calculation gives 0.3598 eV per atom. The calculation puts the total energy at -8.46 eV per cell.

***

Entry 2:
Here is a geometry-optimized La6TcPb2N structure from Alexandria. Energies are from PBE.

Cell and atoms, written as CIF:
```
data_La6TcPb2N
_symmetry_space_group_name_H-M 'P 1'
_symmetry_Int_Tables_number 1
_symmetry_space_group_name_Hall 'P 1'
_cell_length_a 7.5760
_cell_length_b 7.5760
_cell_length_c 7.5884
_cell_angle_alpha 59.96
_cell_angle_beta 59.96
_cell_angle_gamma 89.97
loop_
_atom_site_label
_atom_site_fract_x
_atom_site_fract_y
_atom_site_fract_z
La1 0.2598 0.2598 0.4813
La2 0.7412 0.7405 0.0005
La3 0.2596 0.7412 0.0000
La4 0.7404 0.2588 0.0000
La5 0.2588 0.2595 0.9995
La6 0.7402 0.7402 0.5187
Tc1 0.0000 0.0000 0.0000
Pb1 0.7503 0.2497 0.5000
Pb2 0.2497 0.7503 0.5000
N1 0.5000 0.5000 0.0000
```

Properties
The calculation puts the total magnetization at 0.00 μB/f.u. The calculation puts the total energy at -60.35 eV per cell.